(1)
AlCuS2 | PBE | optimized geometry

Output
Final energy   -55.7 eV/cell
Symmetry   R3m

Geometry as POSCAR:
```
AlCuS2
1.0
3.589 0.000 0.000
-1.795 3.109 0.000
0.000 0.000 18.005
Al Cu S
3 3 6
Direct
0.000 0.000 0.000 Al
0.333 0.667 0.667 Al
0.667 0.333 0.333 Al
0.000 0.000 0.856 Cu
0.333 0.667 0.523 Cu
0.667 0.333 0.190 Cu
0.000 0.000 0.251 S
0.000 0.000 0.732 S
0.333 0.667 0.398 S
0.333 0.667 0.918 S
0.667 0.333 0.065 S
0.667 0.333 0.585 S
```

=====

(2)
CoSnMoW | PBE | optimized geometry

Output
Offset from the most stable computed form   0 meV/atom
M_tot   1.0 μB/f.u.
Symmetry   F-43m

Geometry as POSCAR:
```
CoSnMoW
1.0
6.311 0.000 0.000
0.000 6.311 0.000
0.000 0.000 6.311
Co Sn Mo W
4 4 4 4
Direct
0.000 0.000 0.000 Co
0.000 0.500 0.500 Co
0.500 0.000 0.500 Co
0.500 0.500 0.000 Co
0.250 0.250 0.750 Sn
0.250 0.750 0.250 Sn
0.750 0.250 0.250 Sn
0.750 0.750 0.750 Sn
0.000 0.000 0.500 Mo
0.000 0.500 0.000 Mo
0.500 0.000 0.000 Mo
0.500 0.500 0.500 Mo
0.250 0.250 0.250 W
0.250 0.750 0.750 W
0.750 0.250 0.750 W
0.750 0.750 0.250 W
```

=====

(3)
CsSrPt | PBE | optimized geometry

Output
M_tot   0.0 μB/f.u.
Final energy   -29.1 eV/cell
Symmetry   F-43m

Geometry as POSCAR:
```
CsSrPt
1.0
7.477 0.000 0.000
0.000 7.477 0.000
0.000 0.000 7.477
Cs Sr Pt
4 4 4
Direct
0.000 0.000 0.000 Cs
0.000 0.500 0.500 Cs
0.500 0.000 0.500 Cs
0.500 0.500 0.000 Cs
0.250 0.250 0.250 Sr
0.250 0.750 0.750 Sr
0.750 0.250 0.750 Sr
0.750 0.750 0.250 Sr
0.250 0.250 0.750 Pt
0.250 0.750 0.250 Pt
0.750 0.250 0.250 Pt
0.750 0.750 0.750 Pt
```

=====

(4)
BaSiAg2Se3S | PBE | optimized geometry

Output
Offset from the most stable computed form   0 meV/atom
Symmetry   P1

Geometry as POSCAR:
```
BaSiAg2Se3S
1.0
6.498 0.000 0.000
-1.189 6.436 0.000
-2.864 -3.033 5.073
Ba Si Ag Se S
1 1 2 3 1
Direct
0.000 0.000 0.000 Ba
0.515 0.498 0.002 Si
0.181 0.681 0.490 Ag
0.818 0.313 0.506 Ag
0.166 0.157 0.630 Se
0.470 0.837 0.992 Se
0.534 0.530 0.372 Se
0.844 0.477 0.009 S
```

=====

(5)
Li4AlCd2Pt | PBE | optimized geometry

Output
M_tot   0.0 μB/f.u.
Final energy   -21.7 eV/cell
Symmetry   P-4m2

Geometry as POSCAR:
```
Li4AlCd2Pt
1.0
4.479 0.000 0.000
0.000 4.479 0.000
0.000 0.000 6.426
Li Al Cd Pt
4 1 2 1
Direct
0.000 0.000 0.000 Li
0.000 0.500 0.730 Li
0.500 0.000 0.270 Li
0.500 0.500 0.500 Li
0.500 0.500 0.000 Al
0.000 0.500 0.249 Cd
0.500 0.000 0.751 Cd
0.000 0.000 0.500 Pt
```

=====

(6)
Na2US3 | PBE | optimized geometry

Output
M_tot   2.0 μB/f.u.
Final energy   -67.1 eV/cell
Symmetry   Cmmm

Geometry as POSCAR:
```
Na2US3
1.0
4.127 0.000 0.000
0.000 14.869 0.000
0.000 0.000 5.469
Na U S
4 2 6
Direct
0.000 0.124 0.000 Na
0.000 0.876 0.000 Na
0.500 0.376 0.000 Na
0.500 0.624 0.000 Na
0.000 0.500 0.500 U
0.500 0.000 0.500 U
0.000 0.119 0.500 S
0.000 0.500 0.000 S
0.000 0.881 0.500 S
0.500 0.000 0.000 S
0.500 0.381 0.500 S
0.500 0.619 0.500 S
```

=====

(7)
InAgTeS | PBE | optimized geometry

Output
Offset from the most stable computed form   0 meV/atom
Symmetry   Cc

Geometry as POSCAR:
```
InAgTeS
1.0
8.840 0.000 0.000
0.000 8.846 0.000
-4.264 0.000 6.088
In Ag Te S
4 4 4 4
Direct
0.000 0.111 0.000 In
0.000 0.889 0.500 In
0.500 0.389 0.500 In
0.500 0.611 0.000 In
0.037 0.354 0.499 Ag
0.037 0.646 0.999 Ag
0.537 0.146 0.999 Ag
0.537 0.854 0.499 Ag
0.390 0.121 0.249 Te
0.390 0.879 0.749 Te
0.890 0.379 0.749 Te
0.890 0.621 0.249 Te
0.392 0.381 0.750 S
0.392 0.619 0.250 S
0.892 0.119 0.250 S
0.892 0.881 0.750 S
```

=====

(8)
NbCoAsW | PBE | optimized geometry

Output
Offset from the most stable computed form   0 meV/atom
M_tot   0.9 μB/f.u.
Symmetry   F-43m

Geometry as POSCAR:
```
NbCoAsW
1.0
6.217 0.000 0.000
0.000 6.217 0.000
0.000 0.000 6.217
Nb Co As W
4 4 4 4
Direct
0.000 0.000 0.000 Nb
0.000 0.500 0.500 Nb
0.500 0.000 0.500 Nb
0.500 0.500 0.000 Nb
0.250 0.250 0.750 Co
0.250 0.750 0.250 Co
0.750 0.250 0.250 Co
0.750 0.750 0.750 Co
0.000 0.000 0.500 As
0.000 0.500 0.000 As
0.500 0.000 0.000 As
0.500 0.500 0.500 As
0.250 0.250 0.250 W
0.250 0.750 0.750 W
0.750 0.250 0.750 W
0.750 0.750 0.250 W
```

=====

(9)
LiZnBi | PBE | optimized geometry

Output
Final energy   -22.8 eV/cell
Symmetry   P-62m

Geometry as POSCAR:
```
LiZnBi
1.0
7.586 0.000 0.000
-3.793 6.569 0.000
0.000 0.000 3.883
Li Zn Bi
3 3 3
Direct
0.000 0.273 0.000 Li
0.273 0.000 0.000 Li
0.727 0.727 0.000 Li
0.000 0.614 0.500 Zn
0.386 0.386 0.500 Zn
0.614 0.000 0.500 Zn
0.000 0.000 0.500 Bi
0.333 0.667 0.000 Bi
0.667 0.333 0.000 Bi
```

=====

(10)
AcHoGa | PBE | optimized geometry

Output
Offset from the most stable computed form   687 meV/atom
M_tot   0.0 μB/f.u.
Symmetry   F-43m

Geometry as POSCAR:
```
AcHoGa
1.0
7.509 0.000 0.000
0.000 7.509 0.000
0.000 0.000 7.509
Ac Ho Ga
4 4 4
Direct
0.000 0.000 0.000 Ac
0.000 0.500 0.500 Ac
0.500 0.000 0.500 Ac
0.500 0.500 0.000 Ac
0.250 0.250 0.250 Ho
0.250 0.750 0.750 Ho
0.750 0.250 0.750 Ho
0.750 0.750 0.250 Ho
0.250 0.250 0.750 Ga
0.250 0.750 0.250 Ga
0.750 0.250 0.250 Ga
0.750 0.750 0.750 Ga
```

=====

(11)
Sr2AsIr | PBE | optimized geometry

Output
M_tot   0.0 μB/f.u.
Final energy   -69.4 eV/cell
Symmetry   F-43m

Geometry as POSCAR:
```
Sr2AsIr
1.0
7.146 0.000 0.000
0.000 7.146 0.000
0.000 0.000 7.146
Sr As Ir
8 4 4
Direct
0.000 0.000 0.000 Sr
0.000 0.500 0.500 Sr
0.250 0.250 0.250 Sr
0.250 0.750 0.750 Sr
0.500 0.000 0.500 Sr
0.500 0.500 0.000 Sr
0.750 0.250 0.750 Sr
0.750 0.750 0.250 Sr
0.000 0.000 0.500 As
0.000 0.500 0.000 As
0.500 0.000 0.000 As
0.500 0.500 0.500 As
0.250 0.250 0.750 Ir
0.250 0.750 0.250 Ir
0.750 0.250 0.250 Ir
0.750 0.750 0.750 Ir
```

=====

(12)
YAsIrAu | PBE | optimized geometry

Output
Offset from the most stable computed form   98 meV/atom
M_tot   0.0 μB/f.u.
Symmetry   F-43m

Geometry as POSCAR:
```
YAsIrAu
1.0
6.753 0.000 0.000
0.000 6.753 0.000
0.000 0.000 6.753
Y As Ir Au
4 4 4 4
Direct
0.000 0.000 0.000 Y
0.000 0.500 0.500 Y
0.500 0.000 0.500 Y
0.500 0.500 0.000 Y
0.000 0.000 0.500 As
0.000 0.500 0.000 As
0.500 0.000 0.000 As
0.500 0.500 0.500 As
0.250 0.250 0.250 Ir
0.250 0.750 0.750 Ir
0.750 0.250 0.750 Ir
0.750 0.750 0.250 Ir
0.250 0.250 0.750 Au
0.250 0.750 0.250 Au
0.750 0.250 0.250 Au
0.750 0.750 0.750 Au
```